Record 1
Density functional theory data (GGA-PBE) for a geometry-optimized Ac4PmPu3S8 structure.

Results
The formation energy (no corrections) comes out at -1.91 eV per atom.

Cell lengths 8.256, 8.337, 8.255 Å; angles 119.66, 120.01, 90.00 degrees
Each line ends with the local moment (μB).
Atoms (fractional coordinates):
Ac: 0.500 0.000 0.000  0.04
Ac: 0.500 0.000 0.500  0.02
Ac: 0.000 0.000 0.000  0.02
Ac: 0.000 0.000 0.500  0.02
Pm: 0.000 0.500 0.000  0.05
Pu: 0.500 0.500 0.000  5.36
Pu: 0.500 0.500 0.500  5.36
Pu: 0.000 0.500 0.500  5.36
S: 0.244 0.728 0.984  -0.04
S: 0.244 0.728 0.488  -0.04
S: 0.258 0.275 0.517  -0.07
S: 0.740 0.728 0.984  -0.04
S: 0.260 0.272 0.016  -0.04
S: 0.742 0.725 0.483  -0.07
S: 0.756 0.272 0.512  -0.04
S: 0.756 0.272 0.016  -0.04

Record 2
Density functional theory data (GGA-PBE) for a geometry-optimized YAuIN2 structure.

Results
The formation energy (no corrections) comes out at 0.92 eV per atom. For the polymorph energy (0 for the lowest one), the calculation gives 0.098 eV per atom.

Cell lengths 4.269, 7.156, 4.269 Å; angles 90.00, 90.00, 90.00 degrees
Each line ends with the local moment (μB).
Atoms (fractional coordinates):
I: 0.500 0.500 0.500  -0.01
Y: 0.000 0.000 0.000  0.00
Au: 0.000 0.500 0.000  -0.01
N: 0.000 0.000 0.500  0.07
N: 0.500 0.000 0.000  0.01

Record 3
Density functional theory data (GGA-PBE) for a geometry-optimized TcB3N3 structure.

Results
The formation energy (no corrections) comes out at 0.56 eV per atom.

Cell lengths 4.693, 4.693, 4.693 Å; angles 90.00, 90.00, 90.00 degrees
Each line ends with the local moment (μB).
Atoms (fractional coordinates):
Tc: 0.500 0.500 0.500  2.51
Tc: 0.000 0.000 0.000  2.51
B: 0.250 0.000 0.500  -0.01
B: 0.000 0.500 0.250  -0.01
B: 0.500 0.750 0.000  -0.01
B: 0.750 0.000 0.500  -0.01
B: 0.000 0.500 0.750  -0.01
B: 0.500 0.250 0.000  -0.01
N: 0.000 0.250 0.500  0.08
N: 0.000 0.750 0.500  0.08
N: 0.500 0.000 0.750  0.08
N: 0.750 0.500 0.000  0.08
N: 0.500 0.000 0.250  0.08
N: 0.250 0.500 0.000  0.08

Record 4
Density functional theory data (GGA-PBE) for a geometry-optimized Pu2ZrTaP4 structure.

Cell lengths 3.794, 6.618, 6.550 Å; angles 109.24, 90.00, 90.00 degrees
Each line ends with the local moment (μB).
Atoms (fractional coordinates):
Pu: 0.500 0.000 0.500  5.00
Pu: 0.000 0.500 0.500  -4.94
Zr: 0.000 0.000 0.000  0.03
Ta: 0.500 0.500 0.000  -0.09
P: 0.500 0.252 0.233  0.03
P: 0.500 0.748 0.767  0.03
P: 0.000 0.263 0.771  -0.02
P: 0.000 0.737 0.229  -0.02

Record 5
Density functional theory data (GGA-PBE) for a geometry-optimized Li6CdHg6 structure.

Cell lengths 5.917, 5.917, 9.513 Å; angles 90.00, 90.00, 120.01 degrees
Atoms (fractional coordinates):
Li: 0.000 0.000 0.684
Li: 0.000 0.000 0.316
Li: 0.333 0.667 0.000
Li: 0.667 0.333 0.000
Li: 0.333 0.667 0.500
Li: 0.667 0.333 0.500
Cd: 0.000 0.000 0.000
Hg: 0.000 0.500 0.746
Hg: 0.500 0.000 0.746
Hg: 0.500 0.500 0.746
Hg: 0.500 0.000 0.254
Hg: 0.000 0.500 0.254
Hg: 0.500 0.500 0.254

Record 6
Density functional theory data (GGA-PBE) for a geometry-optimized Cr2SiRu structure.

Results
The formation energy (no corrections) comes out at 0.06 eV per atom.

Cell lengths 8.410, 8.410, 8.410 Å; angles 18.12, 18.12, 18.12 degrees
Each line ends with the local moment (μB).
Atoms (fractional coordinates):
Cr: 0.002 0.002 0.002  0.14
Cr: 0.498 0.498 0.498  0.14
Ru: 0.250 0.250 0.250  0.05
Si: 0.750 0.750 0.750  0.00

Number 1: DFT total energy -127.68 eV per cell, M_tot 17.17 μB per formula unit. Number 2: DFT total energy -23.35 eV per cell, M_tot 0.09 μB per formula unit. Number 3: DFT total energy -102.96 eV per cell, M_tot 2.99 μB per formula unit. Number 4: DFT total energy -79.79 eV per cell, M_tot 0.04 μB per formula unit. Number 5: DFT total energy -16.57 eV per cell, M_tot 0.00 μB per formula unit. Number 6: DFT total energy -33.69 eV per cell, M_tot 0.35 μB per formula unit.